No. 1
Here is crystalline LaFeCo2 at its relaxed geometry from Alexandria via LeMat-Bulk. Energies are from PBE.

Lattice parameters (Å, degrees): 4.3095 4.3159 3.4270 90.00 90.00 90.00
Each line ends with the local moment (μB).
Positions (direct):
Co1 0.5000 0.5000 0.0000  0.95
Co2 0.0000 0.0000 0.0000  0.96
La1 0.0000 0.5000 0.5000  -0.21
Fe1 0.5000 0.0000 0.5000  2.80

Formation energy from the elements (meV per atom): 357
Total DFT energy (no corrections) (eV/atom): -6.544
Theoretical density (g cm⁻³): 8.14

***

No. 2
Here is crystalline TlVTeI2 at its relaxed geometry from Alexandria via LeMat-Bulk. Energies are from PBE.

Lattice parameters (Å, degrees): 5.7927 5.2159 5.7927 90.00 90.00 90.00
Each line ends with the local moment (μB).
Positions (direct):
I1 0.0000 0.0000 0.5000  -0.04
I2 0.5000 0.0000 0.0000  -0.03
V1 0.0000 0.0000 0.0000  2.17
Te1 0.0000 0.5000 0.0000  -0.25
Tl1 0.5000 0.5000 0.5000  0.00

ΔE to the lowest computed polymorph (kJ per mole of atoms): 0.0
Total DFT energy (no corrections) (eV/atom): -3.780
Theoretical density (g cm⁻³): 6.04

***

No. 3
Here is crystalline LiV2PAu at its relaxed geometry from Alexandria via LeMat-Bulk. Energies are from PBE.

Lattice parameters (Å, degrees): 4.2733 3.9375 4.2733 90.00 90.00 90.00
Each line ends with the local moment (μB).
Positions (direct):
V1 0.5000 0.0000 0.0000  0.68
V2 0.0000 0.0000 0.5000  0.92
Li1 0.0000 0.0000 0.0000  0.02
P1 0.0000 0.5000 0.0000  -0.06
Au1 0.5000 0.5000 0.5000  0.00

Formation energy from the elements (meV per atom): 786
Total DFT energy (no corrections) (eV/atom): -4.982
Theoretical density (g cm⁻³): 7.78

***

No. 4
Here is crystalline NdGePd3 at its relaxed geometry from Alexandria via LeMat-Bulk. Energies are from PBE.

Lattice parameters (Å, degrees): 6.2344 6.2344 11.9430 90.00 90.00 120.00
Positions (direct):
Pd1 0.1412 0.8588 0.7500
Pd2 0.0000 0.5000 0.5000
Pd3 0.0000 0.5000 0.0000
Pd4 0.2825 0.1412 0.2500
Pd5 0.5000 0.5000 0.0000
Pd6 0.8588 0.7175 0.2500
Pd7 0.8588 0.1412 0.2500
Pd8 0.5000 0.0000 0.0000
Pd9 0.5000 0.0000 0.5000
Pd10 0.7175 0.8588 0.7500
Pd11 0.1412 0.2825 0.7500
Pd12 0.5000 0.5000 0.5000
Ge1 0.3333 0.6667 0.6381
Ge2 0.6667 0.3333 0.3619
Ge3 0.3333 0.6667 0.8619
Ge4 0.6667 0.3333 0.1381
Nd1 0.6667 0.3333 0.7500
Nd2 0.0000 0.0000 0.0000
Nd3 0.3333 0.6667 0.2500
Nd4 0.0000 0.0000 0.5000

ΔE to the lowest computed polymorph (kJ per mole of atoms): 0.0
Formation energy from the elements (meV per atom): -606
Total DFT energy (no corrections) (eV/atom): -5.599
Theoretical density (g cm⁻³): 8.86

***

- The lowest total DFT energy (no corrections) belongs to which entry?
  LaFeCo2